Record 1
A plane-wave DFT calculation with GGA-PBE was carried out for an optimized crystal structure of BeInPt2.

Cell: 2.9526 2.9526 24.5395 Å, 90.00 90.00 120.00°
With the nearest neighbours (Å) after each atom.
Space group R-3m (No. 166, hexagonal axes)
Symmetry-distinct sites (fractional):
Be 0.0000 0.0000 0.0000 x3  6 Pt 2.38
In 0.0000 0.0000 0.5000 x3  6 In 2.95, 6 Pt 2.96
Pt 0.0000 0.0000 0.2655 x6  3 Be 2.38

Properties
Calculated formation energy in eV per atom: -0.32
Energy in eV per atom: -4.961

Record 2
A plane-wave DFT calculation with GGA-PBE was carried out for an optimized crystal structure of BeIn3Pt.

Cell: 4.7445 4.7445 4.7445 Å, 90.00 90.00 90.00°
With the nearest neighbours (Å) after each atom.
Space group Pm-3m (No. 221)
Symmetry-distinct sites (fractional):
Be 0.0000 0.0000 0.0000 x1  6 In 2.37
In 0.0000 0.0000 0.5000 x3  2 Be 2.37
Pt 0.5000 0.5000 0.5000 x1  12 In 3.35

Properties
Calculated formation energy in eV per atom: 0.38
Energy in eV per atom: -3.212

Record 3
A plane-wave DFT calculation with GGA-PBE was carried out for an optimized crystal structure of BeIn2Pt.

Cell: 6.7266 3.8876 6.4074 Å, 90.00 90.07 90.00°
With the nearest neighbours (Å) after each atom.
Space group Cm (No. 8)
Symmetry-distinct sites (fractional):
Be 0.0000 0.0000 0.0000 x2  3 Pt 2.24
In 0.3325 0.0000 0.7199 x2  1 In 2.82, 3 Be 2.87, 3 Pt 2.87
In 0.3336 0.0000 0.2801 x2  1 In 2.82, 3 Be 2.87, 3 Pt 2.87
Pt 0.1665 0.5000 0.0000 x2  3 Be 2.24

Properties
Calculated formation energy in eV per atom: -0.29
Energy in eV per atom: -4.100